[1]
The following is a PBEsol calculation of crystalline TlICl2 at its relaxed geometry, from Alexandria.

Computed properties:
- Symmetry: R-3m (166)

Lattice parameters (Å, degrees): 4.9401 4.9401 8.3437 72.78 72.78 60.00
Closest atoms and distances in Å follow each position.
Fractional coordinates of all 4 atoms:
I (0.0000, 0.0000, 0.0000)  2 Cl 2.55
Tl (0.5000, 0.5000, 0.5000)  6 Cl 3.16
Cl (0.8916, 0.8916, 0.3253)  1 I 2.55
Cl (0.1084, 0.1084, 0.6747)  1 I 2.55

[2]
The following is a PBEsol calculation of crystalline TlICl2 at its relaxed geometry, from Alexandria.

Computed properties:
- Symmetry: R-3m (166)

Lattice parameters (Å, degrees): 3.5146 3.5146 10.4739 80.34 80.34 60.00
Closest atoms and distances in Å follow each position.
Fractional coordinates of all 4 atoms:
I (0.5000, 0.5000, 0.5000)  6 Cl 3.30, 6 I 3.51
Tl (0.0000, 0.0000, 0.0000)  2 Cl 2.54
Cl (0.9177, 0.9177, 0.2470)  1 Tl 2.54
Cl (0.0823, 0.0823, 0.7530)  1 Tl 2.54

no.,total DFT energy (no corrections) (Ha/atom),DOS at the Fermi energy (states/eV/cell),formation energy (no corrections) (eV/f.u.)
1,-0.09646,0.00,-2.09
2,-0.07549,4.38,0.20